Record 1
An optimized crystal structure of Pm2USe5. Source: the Alexandria database, functional PBE-GGA.

Cell and atoms, written as extended XYZ:
```
16
Lattice="8.0229 0.0000 0.0000 0.0000 12.5592 0.0000 0.0000 0.0000 4.1781" Properties=species:S:1:pos:R:3 pbc="T T T"
Pm 0.2326 2.1946 0.0000
Pm 3.7788 8.4742 0.0000
Pm 4.2441 4.0850 0.0000
Pm 7.7903 10.3646 0.0000
U 0.0000 6.2796 2.0890
U 4.0115 0.0000 2.0890
Se 0.0000 0.0000 2.0890
Se 1.3643 5.0174 0.0000
Se 1.4280 8.7793 2.0890
Se 2.5835 2.4997 2.0890
Se 2.6472 11.2970 0.0000
Se 4.0115 6.2796 2.0890
Se 5.3757 1.2622 0.0000
Se 5.4394 10.0595 2.0890
Se 6.5950 3.7799 2.0890
Se 6.6587 7.5418 0.0000
```

Calculated values
DOS(E_F) = 0.888 states/eV/atom
mass density = 7.28 Mg/m³
crystal system = orthorhombic
relative energy among the computed polymorphs = 0.0 meV per atom
energy = -6.340 eV per atom
uncorrected formation energy = -1.564 eV/atom



Record 2
An optimized crystal structure of LiAc2Ir2. Source: the Alexandria database, functional PBE-GGA.

Cell and atoms, written as extended XYZ:
```
10
Lattice="5.2539 -2.8951 0.0000 5.2539 2.8951 0.0000 -2.3494 0.0000 8.0124" Properties=species:S:1:pos:R:3 pbc="T T T"
Li 3.4918 2.2405 6.0093
Li 4.6665 -2.2405 2.0031
Ac 2.8927 0.8971 2.8245
Ac 6.4403 0.8971 1.1817
Ac 1.7180 -0.8971 6.8307
Ac 5.2656 -0.8971 5.1880
Ir 1.5000 2.0298 7.9051
Ir 5.4837 2.0298 4.1136
Ir 2.6747 -2.0298 3.8989
Ir 6.6584 -2.0298 0.1073
```

Calculated values
DOS(E_F) = 0.398 states/eV/atom
mass density = 11.52 Mg/m³
crystal system = monoclinic
relative energy among the computed polymorphs = 12.7 meV per atom
energy = -6.051 eV per atom
ΔH_f (0 K) = -0.48 eV per atom



Record 3
An optimized crystal structure of KFeNiSe2. Source: the Alexandria database, functional PBE-GGA.

Cell and atoms, written as extended XYZ:
```
5
Lattice="4.8815 0.0000 0.0000 0.0000 4.8815 0.0000 0.0000 0.0000 4.6246" Properties=species:S:1:pos:R:3 pbc="T T T"
K 0.0000 0.0000 0.0000
Fe 2.4408 2.4408 0.0000
Ni 2.4408 2.4408 2.3123
Se 0.0000 2.4408 2.3123
Se 2.4408 0.0000 2.3123
```

Calculated values
DOS(E_F) = 1.334 states/eV/atom
mass density = 4.69 Mg/m³
crystal system = tetragonal
energy = -4.337 eV per atom
uncorrected formation energy = 0.125 eV/atom



Record 4
An optimized crystal structure of FeIrCl2. Source: the Alexandria database, functional PBE-GGA.

Cell and atoms, written as extended XYZ:
```
4
Lattice="1.6960 0.9792 8.3130 -1.6960 0.9792 8.3130 0.0000 -1.9584 8.3130" Properties=species:S:1:pos:R:3 pbc="T T T"
Fe 0.0000 0.0000 0.0000
Ir 0.0000 0.0000 18.0393
Cl 0.0000 0.0000 6.7501
Cl 0.0000 0.0000 11.3405
```

Calculated values
mass density = 6.39 Mg/m³
crystal system = trigonal
relative energy among the computed polymorphs = 1.7 meV per atom
energy = -5.324 eV per atom
uncorrected formation energy = -0.070 eV/atom